[1]
# Co2Hg (PBE-GGA, relaxed)
# - Volume: 14.99 Å³/atom
# - Formation energy from the elements: 130.9 kJ/mol of formula units
data_Co2Hg
_chemical_formula_sum 'Co8 Hg4'
_cell_length_a 9.8211
_cell_length_b 2.7891
_cell_length_c 6.5798
_cell_angle_alpha 90.00
_cell_angle_beta 93.32
_cell_angle_gamma 90.00
_space_group_name_H-M_alt 'C 1 m 1'
_space_group_IT_number 8
loop_
_space_group_symop_operation_xyz
'x,y,z'
'x,-y,z'
'x+1/2,y+1/2,z'
'x+1/2,-y+1/2,z'
loop_
_atom_site_label
_atom_site_fract_x
_atom_site_fract_y
_atom_site_fract_z
_atom_site_occupancy
Co1 0.0000 0.0000 0.0000 1
Co2 0.1103 0.5000 0.2546 1
Co3 0.2252 0.5000 0.9454 1
Co4 0.3731 0.0000 0.7564 1
Hg1 0.1009 0.0000 0.6158 1
Hg2 0.3460 0.0000 0.3033 1

[2]
# MgGa2 (PBE-GGA, relaxed)
# - Volume: 19.20 Å³/atom
# - Formation energy from the elements: -23.9 kJ/mol of formula units
data_MgGa2
_chemical_formula_sum 'Mg4 Ga8'
_cell_length_a 12.5789
_cell_length_b 3.1227
_cell_length_c 6.1491
_cell_angle_alpha 90.00
_cell_angle_beta 107.46
_cell_angle_gamma 90.00
_space_group_name_H-M_alt 'C 1 2/m 1'
_space_group_IT_number 12
loop_
_space_group_symop_operation_xyz
'x,y,z'
'-x,-y,-z'
'-x,y,-z'
'x,-y,z'
'x+1/2,y+1/2,z'
'-x+1/2,-y+1/2,-z'
'-x+1/2,y+1/2,-z'
'x+1/2,-y+1/2,z'
loop_
_atom_site_label
_atom_site_fract_x
_atom_site_fract_y
_atom_site_fract_z
_atom_site_occupancy
Mg1 0.1530 0.0000 0.0767 1
Ga1 0.0067 0.5000 0.2812 1
Ga2 0.1737 0.0000 0.5983 1

[3]
# Pu4H2I5 (PBE-GGA, relaxed)
# - Volume: 28.63 Å³/atom
# - E: -7.167 eV/atom
data_Pu4H2I5
_chemical_formula_sum 'Pu8 H4 I10'
_cell_length_a 3.8848
_cell_length_b 8.6199
_cell_length_c 18.8114
_cell_angle_alpha 90.00
_cell_angle_beta 90.00
_cell_angle_gamma 90.00
_space_group_name_H-M_alt 'I m m m'
_space_group_IT_number 71
_space_group_name_Hall '-I 2 2'
loop_
_atom_site_label
_atom_site_fract_x
_atom_site_fract_y
_atom_site_fract_z
_atom_site_occupancy
Pu1 0.0000 0.0000 0.1770 1
Pu2 0.0000 0.3199 0.5000 1
H1 0.0000 0.0000 0.0549 1
I1 0.0000 0.2166 0.3375 1
I2 0.0000 0.5000 0.0000 1

[4]
# TlAg2W (PBE-GGA, relaxed)
# - Relative energy among the computed polymorphs: 92 meV/atom
# - Volume: 18.77 Å³/atom
# - Formation energy from the elements: 260.5 kJ/mol of formula units
data_TlAg2W
_chemical_formula_sum 'Tl1 Ag2 W1'
_cell_length_a 5.1711
_cell_length_b 2.8473
_cell_length_c 5.4444
_cell_angle_alpha 90.00
_cell_angle_beta 110.51
_cell_angle_gamma 90.00
_space_group_name_H-M_alt 'P 1 2/m 1'
_space_group_IT_number 10
loop_
_space_group_symop_operation_xyz
'x,y,z'
'-x,-y,-z'
'-x,y,-z'
'x,-y,z'
loop_
_atom_site_label
_atom_site_fract_x
_atom_site_fract_y
_atom_site_fract_z
_atom_site_occupancy
Tl1 0.0000 0.0000 0.0000 1
Ag1 0.0000 0.5000 0.5000 1
Ag2 0.5000 0.0000 0.5000 1
W1 0.5000 0.5000 0.0000 1